1.
Entry from Alexandria via LeMat-Bulk: Tb3ScHg after structural relaxation (PBE).

The space group is C2/m (No. 12) and the conventional cell measures 21.532, 3.501 and 7.956 Å, with angles of 90.00, 106.35 and 90.00 degrees. The inequivalent atoms are Tb at (0.014, 0.000, 0.238), Tb at (0.123, 0.500, 0.042), Tb at (0.177, 0.000, 0.452), Sc at (0.235, 0.500, 0.826) and Hg at (0.084, 0.500, 0.614).

***

2.
Entry from Alexandria via LeMat-Bulk: Tb3ScHg after structural relaxation (PBE).

The space group is C2/m (No. 12) and the conventional cell measures 11.000, 7.236 and 7.836 Å, with angles of 90.00, 111.14 and 90.00 degrees. The inequivalent atoms are Tb at (0.053, 0.000, 0.232), Tb at (0.161, 0.253, 0.640), Sc at (0.061, 0.500, 0.243) and Hg at (0.232, 0.500, 0.001).

***

Stability, descending: 2, 1

***

1.
Entry from Alexandria via LeMat-Bulk: TbScHg6 after structural relaxation (PBE).

The space group is P4/mmm (No. 123) and the conventional cell measures 4.650, 4.650 and 8.696 Å, with angles of 90.00, 90.00 and 90.00 degrees. The inequivalent atoms are Tb at (0.000, 0.000, 0.000), Sc at (0.000, 0.000, 0.500), Hg at (0.000, 0.500, 0.259), Hg at (0.500, 0.500, 0.000) and Hg at (0.500, 0.500, 0.500).

***

2.
Entry from Alexandria via LeMat-Bulk: TbScHg6 after structural relaxation (PBE).

The space group is Amm2 (No. 38) and the conventional cell measures 4.985, 6.564 and 11.366 Å, with angles of 90.00, 90.00 and 90.00 degrees. The inequivalent atoms are Tb at (0.000, 0.000, 0.000), Sc at (0.500, 0.000, 0.669), Hg at (0.000, 0.000, 0.506), Hg at (0.000, 0.245, 0.749), Hg at (0.500, 0.000, 0.169) and Hg at (0.500, 0.246, 0.416).

***

Stability, descending: 2, 1